Here is a geometry-optimized La3Y7Er structure from the Alexandria database. Energies are from GGA-PBE.

abc: 8.7898 7.1466 7.1466
angles: 120.00 90.00 90.00
Last column: nearest neighbours and their distance in Å.
Element x y z (fractional)
La1 0.7824 0.4995 0.5005  4 La 3.56-3.58, 5 Y 3.62-3.63, 1 Er 3.62
La2 0.7824 0.4995 0.9990  4 La 3.56-3.58, 5 Y 3.62-3.63, 1 Er 3.62
La3 0.7824 0.0010 0.5005  4 La 3.56-3.58, 5 Y 3.62-3.63, 1 Er 3.62
Y1 0.1231 0.1676 0.8324  1 Er 3.49, 8 Y 3.50-3.59, 2 La 3.63
Y2 0.1231 0.1676 0.3352  1 Er 3.49, 8 Y 3.50-3.59, 2 La 3.63
Y3 0.1221 0.6667 0.3333  9 Y 3.50-3.57, 3 La 3.63
Y4 0.4442 0.8327 0.1673  7 Y 3.50-3.59, 2 Er 3.57, 2 La 3.62
Y5 0.4442 0.3345 0.1673  7 Y 3.50-3.59, 2 Er 3.57, 2 La 3.62
Y6 0.4442 0.8327 0.6655  7 Y 3.50-3.59, 2 Er 3.57, 2 La 3.62
Y7 0.1231 0.6648 0.8324  1 Er 3.49, 8 Y 3.50-3.59, 2 La 3.63
Er1 0.4437 0.3333 0.6667  9 Y 3.49-3.57, 3 La 3.62

DOS(E_F), states/eV/cell: 18.6
Energy of formation from the pure elements, meV/atom: 173.8
SG: P3m1, No. 156
Total magnetic moment, μB/f.u.: 0.00
ΔE to the lowest computed polymorph, eV/atom: 0.053
VASP energy, eV per cell: -62.68
Mass density, g/cm³: 5.152

Here is a geometry-optimized TbPmErGa structure from the Alexandria database. Energies are from GGA-PBE.

abc: 5.3450 5.3450 5.3450
angles: 60.00 60.00 60.00
Last column: nearest neighbours and their distance in Å.
Element x y z (fractional)
Pm1 0.7500 0.7500 0.7500  4 Er 3.27, 4 Tb 3.27
Tb1 0.0000 0.0000 0.0000  4 Pm 3.27, 4 Ga 3.27
Ga1 0.2500 0.2500 0.2500  4 Tb 3.27, 4 Er 3.27
Er1 0.5000 0.5000 0.5000  4 Pm 3.27, 4 Ga 3.27

DOS(E_F), states/eV/cell: 5.7
Energy of formation from the pure elements, meV/atom: -36.8
SG: F-43m, No. 216
Total magnetic moment, μB/f.u.: 1.29
VASP energy, eV per cell: -17.12
Mass density, g/cm³: 8.319

Here is a geometry-optimized Ce2Sm2Th15 structure from the Alexandria database. Energies are from GGA-PBE.

abc: 8.7465 8.7465 8.7465
angles: 81.43 81.43 81.43
Last column: nearest neighbours and their distance in Å.
Element x y z (fractional)
Ce1 0.9175 0.9175 0.9175  1 Ce 2.85
Ce2 0.0825 0.0825 0.0825  1 Ce 2.85
Sm1 0.6825 0.6825 0.6825  15 Th 4.00-4.36, 1 Ce 4.06
Sm2 0.3175 0.3175 0.3175  15 Th 4.00-4.36, 1 Ce 4.06
Th1 0.0000 0.5000 0.0000  8 Th 3.33-3.37, 2 Ce 3.60
Th2 0.0000 0.0000 0.5000  8 Th 3.33-3.37, 2 Ce 3.60
Th3 0.5000 0.0000 0.0000  8 Th 3.33-3.37, 2 Ce 3.60
Th4 0.3023 0.0000 0.6977  8 Th 3.37-3.59, 2 Ce 3.73
Th5 0.6977 0.3023 0.0000  8 Th 3.37-3.59, 2 Ce 3.73
Th6 0.0000 0.6977 0.3023  8 Th 3.37-3.59, 2 Ce 3.73
Th7 0.3023 0.6977 0.0000  8 Th 3.37-3.59, 2 Ce 3.73
Th8 0.0000 0.3023 0.6977  8 Th 3.37-3.59, 2 Ce 3.73
Th9 0.6977 0.0000 0.3023  8 Th 3.37-3.59, 2 Ce 3.73
Th10 0.3499 0.8433 0.3499  8 Th 3.29-3.59
Th11 0.3499 0.3499 0.8433  8 Th 3.29-3.59
Th12 0.8433 0.3499 0.3499  8 Th 3.29-3.59
Th13 0.6501 0.1567 0.6501  8 Th 3.29-3.59
Th14 0.6501 0.6501 0.1567  8 Th 3.29-3.59
Th15 0.1567 0.6501 0.6501  8 Th 3.29-3.59

DOS(E_F), states/eV/cell: 41.2
Energy of formation from the pure elements, meV/atom: 282.1
SG: R-3m, No. 166
Total magnetic moment, μB/f.u.: 0.01
VASP energy, eV per cell: -127.24
Mass density, g/cm³: 10.396

Here is a geometry-optimized Ce3CdHg2 structure from the Alexandria database. Energies are from GGA-PBE.

abc: 3.9731 3.9731 10.7047
angles: 90.00 90.00 90.00
Last column: nearest neighbours and their distance in Å.
Element x y z (fractional)
Ce1 0.0000 0.0000 0.0000  8 Hg 3.34, 2 Ce 3.54
Ce2 0.0000 0.0000 0.6697  4 Hg 3.30, 4 Cd 3.35, 2 Ce 3.54-3.63
Ce3 0.0000 0.0000 0.3303  4 Hg 3.30, 4 Cd 3.35, 2 Ce 3.54-3.63
Cd1 0.5000 0.5000 0.5000  8 Ce 3.35, 2 Hg 3.55
Hg1 0.5000 0.5000 0.8319  8 Ce 3.30-3.34, 1 Cd 3.55, 1 Hg 3.60
Hg2 0.5000 0.5000 0.1681  8 Ce 3.30-3.34, 1 Cd 3.55, 1 Hg 3.60

DOS(E_F), states/eV/cell: 23.3
Energy of formation from the pure elements, meV/atom: -229.4
SG: P4/mmm, No. 123
Total magnetic moment, μB/f.u.: 4.12
VASP energy, eV per cell: -20.70
Mass density, g/cm³: 9.178

Here is a geometry-optimized CaBi2TeO8 structure from the Alexandria database. Energies are from GGA-PBE.

abc: 5.0522 5.0511 6.9516
angles: 90.00 90.00 89.18
Last column: nearest neighbours and their distance in Å.
Element x y z (fractional)
Ca1 0.0000 0.0000 0.5000  6 O 2.28-2.39
Bi1 0.5000 0.5000 0.7506  6 O 2.18-2.35
Bi2 0.5000 0.5000 0.2494  6 O 2.18-2.35
Te1 0.0000 0.0000 0.0000  6 O 1.96-2.00
O1 0.1822 0.8167 0.2110  1 Te 1.96
O2 0.7207 0.7220 0.0000  1 Te 2.00
O3 0.8178 0.1833 0.2110  1 Te 1.96
O4 0.8178 0.1833 0.7890  1 Te 1.96
O5 0.2793 0.2780 0.0000  1 Te 2.00
O6 0.1822 0.8167 0.7890  1 Te 1.96
O7 0.6820 0.6835 0.5000  2 Bi 2.18, 1 Ca 2.28
O8 0.3180 0.3165 0.5000  2 Bi 2.18, 1 Ca 2.28

DOS(E_F), states/eV/cell: 2.3
SG: P2/m, No. 10
Total magnetic moment, μB/f.u.: 0.00
Formation energy without anion corrections, eV per atom: -1.35
VASP energy, eV per cell: -68.72
Mass density, g/cm³: 6.681

Here is a geometry-optimized Mg2In4Bi3 structure from the Alexandria database. Energies are from GGA-PBE.

abc: 5.0866 7.0889 9.1239
angles: 68.38 102.13 66.93
Last column: nearest neighbours and their distance in Å.
Element x y z (fractional)
Mg1 0.6295 0.5303 0.6885  3 Bi 3.07-3.18, 3 In 3.19-3.31
Mg2 0.3705 0.4697 0.3115  3 Bi 3.07-3.18, 3 In 3.19-3.31
In1 0.3446 0.3266 0.0178  2 Mg 3.19-3.53, 4 In 3.26-3.48, 3 Bi 3.31-3.43
In2 0.0471 0.1406 0.3376  3 In 3.16-3.48, 2 Mg 3.21-3.31, 2 Bi 3.24-3.36
In3 0.9529 0.8594 0.6624  3 In 3.16-3.48, 2 Mg 3.21-3.31, 2 Bi 3.24-3.36
In4 0.6554 0.6734 0.9822  2 Mg 3.19-3.53, 4 In 3.26-3.48, 3 Bi 3.31-3.43
Bi1 0.6782 0.7633 0.3455  2 Mg 3.07-3.11, 3 In 3.24-3.40, 2 Bi 3.37-3.41
Bi2 0.0000 0.0000 0.0000  2 Mg 3.18, 4 In 3.31-3.43, 2 Bi 3.41
Bi3 0.3218 0.2367 0.6545  2 Mg 3.07-3.11, 3 In 3.24-3.40, 2 Bi 3.37-3.41

DOS(E_F), states/eV/cell: 4.0
Energy of formation from the pure elements, meV/atom: -15.8
SG: P-1, No. 2
Total magnetic moment, μB/f.u.: 0.00
VASP energy, eV per cell: -25.93
Mass density, g/cm³: 7.359

Here is a geometry-optimized Na3LaPu2Se6 structure from the Alexandria database. Energies are from GGA-PBE.

abc: 7.4017 7.4017 7.3708
angles: 99.65 99.65 120.00
Last column: nearest neighbours and their distance in Å.
Element x y z (fractional)
Na1 0.1661 0.8339 0.5000  6 Se 3.04-3.12
Na2 0.8339 0.1661 0.5000  6 Se 3.04-3.12
Na3 0.5000 0.5000 0.5000  6 Se 3.03-3.12
La1 0.0000 0.0000 0.0000  6 Se 3.01
Pu1 0.3332 0.6668 0.0000  6 Se 2.92-2.93
Pu2 0.6668 0.3332 0.0000  6 Se 2.92-2.93
Se1 0.9223 0.5794 0.7675  2 Pu 2.92, 1 La 3.01, 3 Na 3.04-3.12
Se2 0.7353 0.7353 0.2340  2 Pu 2.93, 1 La 3.01, 3 Na 3.03-3.11
Se3 0.0777 0.4206 0.2325  2 Pu 2.92, 1 La 3.01, 3 Na 3.04-3.12
Se4 0.5794 0.9223 0.7675  2 Pu 2.92, 1 La 3.01, 3 Na 3.04-3.12
Se5 0.2647 0.2647 0.7660  2 Pu 2.93, 1 La 3.01, 3 Na 3.03-3.11
Se6 0.4206 0.0777 0.2325  2 Pu 2.92, 1 La 3.01, 3 Na 3.04-3.12

DOS(E_F), states/eV/cell: 22.2
SG: C2/m, No. 12
Total magnetic moment, μB/f.u.: 10.00
Formation energy without anion corrections, eV per atom: -1.51
VASP energy, eV per cell: -76.61
Mass density, g/cm³: 5.895

Here is a geometry-optimized LuBeCu2 structure from the Alexandria database. Energies are from GGA-PBE.

abc: 3.9847 3.9847 5.0660
angles: 66.84 66.84 60.00
Last column: nearest neighbours and their distance in Å.
Element x y z (fractional)
Be1 0.5000 0.5000 0.5000  6 Cu 2.35
Lu1 0.0000 0.0000 0.0000  8 Cu 2.76-2.89
Cu1 0.7964 0.7964 0.6108  3 Be 2.35, 3 Cu 2.51
Cu2 0.2036 0.2036 0.3892  3 Be 2.35, 3 Cu 2.51

DOS(E_F), states/eV/cell: 2.8
Energy of formation from the pure elements, meV/atom: -160.9
SG: R-3m, No. 166
Total magnetic moment, μB/f.u.: 0.00
VASP energy, eV per cell: -17.08
Mass density, g/cm³: 8.323

Please write out number 5 again, unchanged.
Here is a geometry-optimized CaBi2TeO8 structure from the Alexandria database. Energies are from GGA-PBE.

abc: 5.0522 5.0511 6.9516
angles: 90.00 90.00 89.18
Last column: nearest neighbours and their distance in Å.
Element x y z (fractional)
Ca1 0.0000 0.0000 0.5000  6 O 2.28-2.39
Bi1 0.5000 0.5000 0.7506  6 O 2.18-2.35
Bi2 0.5000 0.5000 0.2494  6 O 2.18-2.35
Te1 0.0000 0.0000 0.0000  6 O 1.96-2.00
O1 0.1822 0.8167 0.2110  1 Te 1.96
O2 0.7207 0.7220 0.0000  1 Te 2.00
O3 0.8178 0.1833 0.2110  1 Te 1.96
O4 0.8178 0.1833 0.7890  1 Te 1.96
O5 0.2793 0.2780 0.0000  1 Te 2.00
O6 0.1822 0.8167 0.7890  1 Te 1.96
O7 0.6820 0.6835 0.5000  2 Bi 2.18, 1 Ca 2.28
O8 0.3180 0.3165 0.5000  2 Bi 2.18, 1 Ca 2.28

DOS(E_F), states/eV/cell: 2.3
SG: P2/m, No. 10
Total magnetic moment, μB/f.u.: 0.00
Formation energy without anion corrections, eV per atom: -1.35
VASP energy, eV per cell: -68.72
Mass density, g/cm³: 6.681

> Among the records above, which one has the lowest VASP energy?

Ce2Sm2Th15

> Look up the VASP energy of the second one.

-17.12 eV per cell